First-principles (GGA-PBE) data for NdSm2Er4 after structural relaxation, as listed in Alexandria via LeMat-Bulk.

Geometry as POSCAR:
```
NdSm2Er4
1.0
-8.3784 1.4911 -0.3565
0.5041 -4.2631 -8.8973
0.5822 -1.6098 9.7520
Sm Er Nd
4 8 2
Cartesian
-5.1038 0.0413 -1.2843
-0.2961 -3.3089 4.0347
-5.2331 -1.2572 4.9573
-4.2258 -2.7414 -6.9304
-3.5551 -2.3915 -3.5284
-5.8182 -2.0812 1.6214
-7.9507 0.3155 0.7778
-2.9213 -2.4389 -0.1440
-6.2260 -3.2509 -1.5880
-7.0382 -2.7915 -4.9155
-1.8583 -0.8725 6.2707
-2.4908 -0.8389 2.8948
-0.6785 -4.7973 0.7948
-0.1606 -2.0160 -2.2144
```

Size of the total moment = 0.00 μB per formula unit
Energy above the most stable polymorph in this dataset = 36 meV/atom
Electronic total energy = -4.56 eV per atom
Calculated formation energy = 77 meV/atom
DOS(E_F) = 1.60 states/eV per atom



First-principles (GGA-PBE) data for LiMnPd14 after structural relaxation, as listed in Alexandria via LeMat-Bulk.

Geometry as POSCAR:
```
LiMnPd14
1.0
-3.4073 -4.3730 0.0386
2.3579 -1.7953 4.6852
-5.2389 4.1192 4.2149
Pd Mn Li
14 1 1
Cartesian
-1.9944 -2.8042 4.0301
-1.4693 0.2825 1.6663
-4.7166 -2.4400 3.8982
-5.7371 0.1087 3.7467
-2.0972 -4.4996 1.7907
-0.3935 -2.3131 1.7714
-4.0315 2.2971 3.7277
-2.8513 1.3990 6.0727
-4.5567 -0.7895 6.0916
-0.2888 -0.6158 4.0111
-1.8341 -1.1512 6.2215
-3.1747 -1.9061 1.6851
0.7854 -3.2107 4.1141
-0.9183 -5.3973 4.1334
-3.5377 -3.3376 6.2408
-3.0130 -0.2534 3.8788
```

Size of the total moment = 5.85 μB per formula unit
Electronic total energy = -5.35 eV per atom
Calculated formation energy = -115 meV/atom
DOS(E_F) = 1.70 states/eV per atom



First-principles (GGA-PBE) data for Nb2Ga2Sn after structural relaxation, as listed in Alexandria via LeMat-Bulk.

Geometry as POSCAR:
```
Nb2Ga2Sn
1.0
3.7178 0.0000 0.0000
0.0000 3.7178 0.0000
1.8589 1.8589 6.9152
Sn Ga Nb
1 2 2
Cartesian
0.0000 0.0000 0.0000
1.8589 3.7178 3.4576
3.7178 1.8589 3.4576
3.7178 3.7178 5.5565
1.8589 1.8589 1.3587
```

Size of the total moment = 0.00 μB per formula unit
Energy above the most stable polymorph in this dataset = 72 meV/atom
Electronic total energy = -6.04 eV per atom
Calculated formation energy = 3 meV/atom
DOS(E_F) = 0.14 states/eV per atom



First-principles (GGA-PBE) data for SrCrP3 after structural relaxation, as listed in Alexandria via LeMat-Bulk.

Geometry as POSCAR:
```
SrCrP3
1.0
-0.6263 0.1562 -4.5476
4.4120 -1.1021 -0.6455
-1.1131 -4.4562 0.0003
Sr P Cr
1 3 1
Cartesian
1.3363 -2.7011 -2.5964
2.2060 -0.5510 -0.3228
-0.3132 0.0781 -2.2738
-0.5565 -2.2281 0.0001
0.0000 0.0000 0.0000
```

Size of the total moment = 0.00 μB per formula unit
Energy above the most stable polymorph in this dataset = 0 meV/atom
Electronic total energy = -5.72 eV per atom
Calculated formation energy = -212 meV/atom
DOS(E_F) = 0.89 states/eV per atom



First-principles (GGA-PBE) data for Ho4Pd2Ru after structural relaxation, as listed in Alexandria via LeMat-Bulk.

Geometry as POSCAR:
```
Ho4Pd2Ru
1.0
-1.1999 -3.5717 -6.4662
7.3564 1.1044 0.8244
-2.5969 -4.1152 5.6851
Ho Ru Pd
8 2 4
Cartesian
3.2611 -3.0103 -4.4536
2.6896 -4.5298 2.3061
2.5685 -1.7915 -0.5220
6.2480 -1.2208 -0.1188
-1.4016 -3.8323 2.7576
0.8960 -1.2490 2.2736
-2.0005 -5.6377 -0.4684
1.9766 -5.0583 -1.6012
3.9235 -2.1239 1.8400
3.5558 -6.5810 0.0466
1.2201 -3.4722 4.5294
4.5952 -3.1901 -1.9895
0.5034 -4.0089 0.6227
0.8004 -2.4938 -3.0755
```

Size of the total moment = 0.00 μB per formula unit
Energy above the most stable polymorph in this dataset = 0 meV/atom
Electronic total energy = -6.07 eV per atom
Calculated formation energy = -643 meV/atom
DOS(E_F) = 0.37 states/eV per atom



First-principles (GGA-PBE) data for Sm2Y7Mg2 after structural relaxation, as listed in Alexandria via LeMat-Bulk.

Geometry as POSCAR:
```
Sm2Y7Mg2
1.0
5.4489 1.0581 1.5268
0.2637 7.9653 1.4742
0.2637 -1.4169 7.9757
Mg Y Sm
2 7 2
Cartesian
4.4676 3.6183 5.2215
1.5086 3.9882 5.7552
1.1642 -0.4965 5.1023
1.1642 4.9517 1.3269
4.8121 2.6547 9.6499
1.9974 1.8659 2.6926
4.8121 8.1030 5.8744
0.0000 0.0000 0.0000
3.9789 5.7406 8.2841
2.9881 6.4052 3.6853
2.9881 1.2013 7.2914
```

Size of the total moment = 0.00 μB per formula unit
Electronic total energy = -5.09 eV per atom
Calculated formation energy = 169 meV/atom
DOS(E_F) = 1.28 states/eV per atom



First-principles (GGA-PBE) data for AcTbScIn after structural relaxation, as listed in Alexandria via LeMat-Bulk.

Geometry as POSCAR:
```
AcTbScIn
1.0
5.4964 0.0000 0.0000
2.7482 4.7600 0.0000
2.7482 1.5867 4.4878
Tb Sc In Ac
1 1 1 1
Cartesian
5.4964 3.1733 2.2439
0.0000 0.0000 0.0000
8.2446 4.7600 3.3658
2.7482 1.5867 1.1219
```

Size of the total moment = 1.07 μB per formula unit
Electronic total energy = -4.47 eV per atom
Calculated formation energy = -15 meV/atom
DOS(E_F) = 1.87 states/eV per atom



First-principles (GGA-PBE) data for La2Pr2Tm15 after structural relaxation, as listed in Alexandria via LeMat-Bulk.

Geometry as POSCAR:
```
La2Pr2Tm15
1.0
-1.7255 4.2078 -7.4067
-0.6633 -6.8708 -5.2816
-8.6521 -0.8271 0.0130
Tm La Pr
15 2 2
Cartesian
-6.7602 1.0992 -5.5650
-4.2807 -4.5892 -7.1104
-0.8627 2.1039 -3.7034
-8.1618 -1.6531 -4.5381
-1.4002 0.8149 -6.7559
-0.9886 -3.4779 -5.9324
-3.1099 -5.0199 -3.6601
-6.2441 -4.2830 -4.5325
-2.8790 -1.8370 -8.1372
-4.3260 -0.4135 0.0065
-6.2055 -2.6780 -1.6085
-3.8468 2.6659 -5.1344
-0.3316 -3.4354 -2.6408
-4.7967 0.7930 -8.1428
-6.5308 0.7149 -2.2593
-3.7810 -1.1952 -4.3407
-7.2598 -2.2948 -8.3346
-9.6917 -3.0636 -11.1265
-1.3491 -0.4265 -1.5489
```

Size of the total moment = 0.08 μB per formula unit
Electronic total energy = -4.29 eV per atom
Calculated formation energy = 267 meV/atom
DOS(E_F) = 2.03 states/eV per atom



First-principles (GGA-PBE) data for Nd2SmEr2Tm2 after structural relaxation, as listed in Alexandria via LeMat-Bulk.

Geometry as POSCAR:
```
Nd2SmEr2Tm2
1.0
-2.7981 -0.7514 -1.9419
-0.8144 -2.6265 5.3222
-4.3163 10.8228 2.0320
Er Tm Nd Sm
2 2 2 1
Cartesian
-4.0277 5.0360 3.8551
-3.9013 2.4089 1.5572
-5.5396 7.9750 4.8966
-2.3893 -0.5302 0.5157
-5.1614 7.4681 1.4155
-2.7675 -0.0232 3.9968
-2.1582 5.4114 1.0160
```

Size of the total moment = 0.00 μB per formula unit
Electronic total energy = -4.46 eV per atom
Calculated formation energy = 158 meV/atom
DOS(E_F) = 1.74 states/eV per atom



First-principles (GGA-PBE) data for Pm2Sm2YEr4 after structural relaxation, as listed in Alexandria via LeMat-Bulk.

Geometry as POSCAR:
```
Pm2Sm2YEr4
1.0
3.6052 0.0000 0.0000
-1.8026 9.3461 -0.4982
0.0000 -3.7076 8.8440
Pm Y Sm Er
2 1 2 4
Cartesian
0.0000 2.5436 8.4989
1.8026 3.0948 -0.1530
0.0000 0.0000 0.0000
1.8026 5.3428 2.6270
0.0000 0.2956 5.7189
1.8026 -0.8737 2.9329
0.0000 2.2105 2.7877
0.0000 6.5121 5.4129
1.8026 3.4280 5.5582
```

Size of the total moment = 0.00 μB per formula unit
Electronic total energy = -4.85 eV per atom
Calculated formation energy = 2 meV/atom
DOS(E_F) = 1.38 states/eV per atom



First-principles (GGA-PBE) data for VHg4 after structural relaxation, as listed in Alexandria via LeMat-Bulk.

Geometry as POSCAR:
```
VHg4
1.0
-1.4474 -4.0911 -3.3181
3.4571 1.8585 -3.7995
3.9743 -3.1066 2.0966
Hg V
4 1
Cartesian
1.2634 -3.5988 -0.6107
3.7157 -0.6240 -0.8514
1.0048 -1.1163 -3.5588
0.0000 0.0000 0.0000
2.9920 -2.6696 -2.5105
```

Size of the total moment = 4.28 μB per formula unit
Electronic total energy = -1.62 eV per atom
Calculated formation energy = 441 meV/atom
DOS(E_F) = 0.57 states/eV per atom



First-principles (GGA-PBE) data for LaTb3Pr6Tm2 after structural relaxation, as listed in Alexandria via LeMat-Bulk.

Geometry as POSCAR:
```
LaTb3Pr6Tm2
1.0
6.3283 -0.0010 0.0229
-3.1634 5.4808 0.0229
-1.0980 -1.9012 11.7877
Tm Pr Tb La
2 6 3 1
Cartesian
0.0019 3.6527 0.0229
3.1629 1.8272 0.0229
2.1069 -0.0181 2.9695
-0.0298 -0.0516 8.8410
-0.0400 3.5968 8.8640
3.1354 1.7628 8.8640
2.0966 3.6303 2.9925
-1.0686 1.8159 2.9695
4.1935 -0.0357 5.9168
-2.1267 3.6144 5.9168
1.0334 1.7894 5.9168
0.0000 0.0000 0.0000
```

Size of the total moment = 0.00 μB per formula unit
Electronic total energy = -4.69 eV per atom
Calculated formation energy = 17 meV/atom
DOS(E_F) = 1.25 states/eV per atom



What is the calculated formation energy in the eleventh record? 441 meV/atom



What is the electronic total energy in the twelfth record? -4.69 eV per atom



What is the formula in the fourth record? SrCrP3